1.
PBE Pm2Si3Pt4Rh, relaxed; N(E_F) = 7.23 states/eV/f.u.; total DFT energy (no corrections) = -6.69 eV/atom; energy relative to the elements, uncorrected = -0.96 eV/atom
1.0
-3.529 -1.866 -1.220
1.529 -3.689 1.217
-4.060 1.456 9.516
Pm Si Pt Rh
2 3 4 1
direct
0.500 0.000 0.255 Pm
0.000 0.500 0.745 Pm
0.000 0.000 0.500 Si
0.500 0.000 0.872 Si
0.000 0.500 0.128 Si
0.500 0.500 0.000 Pt
0.000 0.000 0.000 Pt
0.500 0.000 0.649 Pt
0.000 0.500 0.351 Pt
0.500 0.500 0.500 Rh

=====

2.
PBE Mo2C, relaxed; N(E_F) = 2.90 states/eV/f.u.; formation enthalpy at 0 K = 1.571 eV per formula unit; total DFT energy (no corrections) = -9.77 eV/atom
1.0
2.895 0.000 0.000
-1.447 2.507 0.000
0.000 0.000 5.440
Mo C
2 1
direct
0.667 0.333 0.255 Mo
0.667 0.333 0.745 Mo
0.000 0.000 0.000 C

=====

3.
PBE LiZn2Pt, relaxed; N(E_F) = 1.08 states/eV/f.u.; formation enthalpy at 0 K = -1.931 eV per formula unit; total DFT energy (no corrections) = -3.11 eV/atom
1.0
-3.706 0.976 -0.603
-1.034 -1.963 3.182
0.477 3.084 2.057
Zn Pt Li
2 1 1
direct
0.000 0.000 0.000 Zn
0.500 0.500 0.000 Zn
0.000 0.500 0.500 Pt
0.500 0.000 0.500 Li

=====

4.
PBE Tm8SnTe2, relaxed; N(E_F) = 12.93 states/eV/f.u.; total DFT energy (no corrections) = -4.60 eV/atom; energy relative to the elements, uncorrected = -0.41 eV/atom
1.0
-2.538 -3.132 -4.184
2.894 -6.077 4.317
-6.560 3.626 2.787
Tm Sn Te
8 1 2
direct
0.858 0.914 0.685 Tm
0.858 0.685 0.914 Tm
0.300 0.601 0.601 Tm
0.500 0.759 0.241 Tm
0.500 0.241 0.759 Tm
0.700 0.399 0.399 Tm
0.142 0.315 0.086 Tm
0.142 0.086 0.315 Tm
0.500 0.000 0.000 Sn
0.000 0.305 0.695 Te
0.000 0.695 0.305 Te

=====

5.
PBE GaGeH, relaxed; offset from the most stable computed form = 0.1408 eV/atom; N(E_F) = 0.76 states/eV/f.u.; total DFT energy (no corrections) = -3.40 eV/atom
1.0
6.931 0.000 0.000
0.000 5.538 0.000
0.000 0.000 5.168
H Ge Ga
4 4 4
direct
0.748 0.250 0.000 H
0.752 0.750 0.500 H
0.252 0.750 0.000 H
0.248 0.250 0.500 H
0.510 0.250 0.000 Ge
0.990 0.750 0.500 Ge
0.490 0.750 0.000 Ge
0.010 0.250 0.500 Ge
0.000 0.000 0.000 Ga
0.500 0.500 0.500 Ga
0.500 0.000 0.500 Ga
0.000 0.500 0.000 Ga

=====

6.
PBE TaCd2IrCl, relaxed; N(E_F) = 7.20 states/eV/f.u.; total DFT energy (no corrections) = -3.58 eV/atom; energy relative to the elements, uncorrected = 1.30 eV/atom
1.0
5.275 0.000 0.000
0.000 4.527 0.000
0.000 0.000 5.275
Cd Ir Cl Ta
2 1 1 1
direct
0.000 0.000 0.500 Cd
0.500 0.000 0.000 Cd
0.000 0.000 0.000 Ir
0.000 0.500 0.000 Cl
0.500 0.500 0.500 Ta

=====

7.
PBE AlFeCuMo, relaxed; N(E_F) = 1.06 states/eV/f.u.; formation enthalpy at 0 K = -0.246 eV per formula unit; total DFT energy (no corrections) = -6.84 eV/atom
1.0
-2.302 0.820 -3.406
0.146 -2.581 -3.300
-3.304 -2.408 -0.926
Mo Fe Cu Al
1 1 1 1
direct
0.000 0.000 0.000 Mo
0.750 0.750 0.750 Fe
0.250 0.250 0.250 Cu
0.500 0.500 0.500 Al

=====

8.
PBE Sm4YTmS8, relaxed; N(E_F) = 8.37 states/eV/f.u.; total DFT energy (no corrections) = -6.41 eV/atom; energy relative to the elements, uncorrected = -1.92 eV/atom
1.0
8.166 0.000 0.000
4.083 7.072 0.000
4.083 2.357 6.654
Sm Y Tm S
4 1 1 8
direct
0.625 0.625 0.126 Sm
0.001 0.497 0.501 Sm
0.497 0.001 0.501 Sm
0.001 0.001 0.501 Sm
0.001 0.001 0.997 Y
0.375 0.375 0.874 Tm
0.243 0.763 0.751 S
0.763 0.243 0.751 S
0.243 0.243 0.751 S
0.247 0.247 0.260 S
0.762 0.224 0.253 S
0.224 0.762 0.253 S
0.762 0.762 0.253 S
0.758 0.758 0.727 S

=====

9.
PBE MgBSe2N, relaxed; offset from the most stable computed form = 0.0000 eV/atom; N(E_F) = 2.97 states/eV/f.u.; total DFT energy (no corrections) = -4.76 eV/atom; energy relative to the elements, uncorrected = -0.05 eV/atom
1.0
5.445 0.000 0.000
0.000 5.445 0.000
0.000 0.000 2.751
Mg B Se N
1 1 2 1
direct
0.500 0.500 0.500 Mg
0.000 0.000 0.000 B
0.000 0.500 0.000 Se
0.500 0.000 0.000 Se
0.000 0.000 0.500 N

=====

10.
PBE PtSBr3, relaxed; offset from the most stable computed form = 0.4162 eV/atom; N(E_F) = 8.21 states/eV/f.u.; total DFT energy (no corrections) = -2.11 eV/atom; energy relative to the elements, uncorrected = 0.93 eV/atom
1.0
5.077 0.000 0.000
0.000 5.077 0.000
0.000 0.000 5.077
S Br Pt
1 3 1
direct
0.000 0.000 0.000 S
0.000 0.500 0.000 Br
0.000 0.000 0.500 Br
0.500 0.000 0.000 Br
0.500 0.500 0.500 Pt

=====

11.
PBE Tm2MnAl5Fe2, relaxed; N(E_F) = 8.25 states/eV/f.u.; formation enthalpy at 0 K = -2.077 eV per formula unit; total DFT energy (no corrections) = -5.58 eV/atom
1.0
-2.847 -0.915 0.483
3.256 -6.007 7.816
-1.403 7.865 6.630
Tm Mn Al Fe
4 2 10 4
direct
0.000 0.686 0.186 Tm
0.000 0.314 0.814 Tm
0.000 0.186 0.314 Tm
0.000 0.814 0.686 Tm
0.000 0.000 0.000 Mn
0.000 0.500 0.500 Mn
0.500 0.199 0.053 Al
0.500 0.801 0.947 Al
0.500 0.053 0.801 Al
0.500 0.699 0.447 Al
0.500 0.947 0.199 Al
0.500 0.301 0.553 Al
0.500 0.553 0.699 Al
0.500 0.447 0.301 Al
0.500 0.500 0.000 Al
0.500 0.000 0.500 Al
0.000 0.127 0.627 Fe
0.000 0.873 0.373 Fe
0.000 0.627 0.873 Fe
0.000 0.373 0.127 Fe

=====

12.
PBE Ba2ReTc, relaxed; offset from the most stable computed form = 1.1900 eV/atom; N(E_F) = 4.44 states/eV/f.u.; formation enthalpy at 0 K = 6.263 eV per formula unit; total DFT energy (no corrections) = -5.10 eV/atom
1.0
5.465 0.000 0.000
0.000 2.999 0.034
0.000 2.931 6.106
Ba Re Tc
2 1 1
direct
0.000 0.998 0.000 Ba
0.000 0.502 0.500 Ba
0.500 0.250 0.250 Re
0.500 0.750 0.750 Tc

=====

13.
PBE Ce2Al5Cu5, relaxed; N(E_F) = 10.50 states/eV/f.u.; formation enthalpy at 0 K = -4.803 eV per formula unit; total DFT energy (no corrections) = -4.66 eV/atom
1.0
4.159 0.000 0.000
0.000 5.331 0.000
0.000 0.000 9.090
Ce Al Cu
2 5 5
direct
0.000 0.500 0.000 Ce
0.000 0.000 0.500 Ce
0.500 0.500 0.500 Al
0.500 0.751 0.239 Al
0.500 0.249 0.761 Al
0.500 0.249 0.239 Al
0.500 0.751 0.761 Al
0.000 0.500 0.333 Cu
0.000 0.000 0.837 Cu
0.000 0.000 0.163 Cu
0.000 0.500 0.667 Cu
0.500 0.000 0.000 Cu

=====

14.
PBE Cd2FeAs, relaxed; N(E_F) = 3.53 states/eV/f.u.; formation enthalpy at 0 K = 1.381 eV per formula unit; total DFT energy (no corrections) = -3.39 eV/atom
1.0
5.196 0.006 -0.015
-2.225 4.695 -0.015
0.010 0.015 3.059
As Cd Fe
1 2 1
direct
0.000 0.500 0.500 As
0.000 0.000 0.000 Cd
0.500 0.500 0.000 Cd
0.500 0.000 0.500 Fe

=====

15.
PBE Sn4I3F4, relaxed; N(E_F) = 1.78 states/eV/f.u.; total DFT energy (no corrections) = -3.78 eV/atom; energy relative to the elements, uncorrected = -1.22 eV/atom
1.0
3.790 0.000 0.000
0.000 9.276 0.000
-1.895 -4.638 8.099
Sn I F
4 3 4
direct
0.190 0.690 0.380 Sn
0.810 0.310 0.620 Sn
0.500 0.786 0.000 Sn
0.500 0.214 0.000 Sn
0.126 0.126 0.253 I
0.874 0.874 0.747 I
0.000 0.500 0.000 I
0.350 0.198 0.700 F
0.650 0.498 0.300 F
0.650 0.802 0.300 F
0.350 0.502 0.700 F

=====

16.
PBE Yb3Co4Ge13, relaxed; N(E_F) = 28.56 states/eV/f.u.; formation enthalpy at 0 K = -7.241 eV per formula unit; total DFT energy (no corrections) = -5.01 eV/atom
1.0
8.787 0.000 0.000
0.000 8.787 0.000
0.000 0.000 8.787
Yb Co Ge
6 8 26
direct
0.000 0.500 0.750 Yb
0.500 0.250 0.000 Yb
0.750 0.000 0.500 Yb
0.000 0.500 0.250 Yb
0.500 0.750 0.000 Yb
0.250 0.000 0.500 Yb
0.750 0.250 0.750 Co
0.250 0.750 0.250 Co
0.750 0.750 0.250 Co
0.250 0.250 0.750 Co
0.250 0.750 0.750 Co
0.750 0.250 0.250 Co
0.250 0.250 0.250 Co
0.750 0.750 0.750 Co
0.500 0.500 0.500 Ge
0.000 0.000 0.000 Ge
0.801 0.347 0.500 Ge
0.653 0.500 0.801 Ge
0.500 0.199 0.653 Ge
0.199 0.653 0.500 Ge
0.347 0.500 0.199 Ge
0.500 0.801 0.347 Ge
0.801 0.653 0.500 Ge
0.653 0.500 0.199 Ge
0.199 0.347 0.500 Ge
0.347 0.500 0.801 Ge
0.500 0.801 0.653 Ge
0.500 0.199 0.347 Ge
0.301 0.000 0.847 Ge
0.153 0.301 0.000 Ge
0.000 0.153 0.699 Ge
0.699 0.000 0.153 Ge
0.847 0.699 0.000 Ge
0.000 0.847 0.301 Ge
0.301 0.000 0.153 Ge
0.153 0.699 0.000 Ge
0.699 0.000 0.847 Ge
0.847 0.301 0.000 Ge
0.000 0.153 0.301 Ge
0.000 0.847 0.699 Ge

=====

17.
PBE TeSeBr3, relaxed; offset from the most stable computed form = 0.0000 eV/atom; N(E_F) = 0.00 states/eV/f.u.; total DFT energy (no corrections) = -2.59 eV/atom; energy relative to the elements, uncorrected = -0.26 eV/atom
1.0
7.700 0.000 0.286
0.000 7.545 0.000
-0.517 0.000 16.218
Te Se Br
4 4 12
direct
0.079 0.365 0.124 Te
0.079 0.635 0.624 Te
0.921 0.365 0.376 Te
0.921 0.635 0.876 Te
0.043 0.058 0.317 Se
0.957 0.058 0.183 Se
0.043 0.942 0.817 Se
0.957 0.942 0.683 Se
0.632 0.268 0.438 Br
0.632 0.732 0.938 Br
0.240 0.532 0.767 Br
0.114 0.746 0.003 Br
0.240 0.468 0.267 Br
0.368 0.732 0.562 Br
0.886 0.746 0.497 Br
0.760 0.532 0.733 Br
0.886 0.254 0.997 Br
0.760 0.468 0.233 Br
0.368 0.268 0.062 Br
0.114 0.254 0.503 Br

=====

18.
PBE Pt4Pb, relaxed; offset from the most stable computed form = 1.5916 eV/atom; N(E_F) = 7.31 states/eV/f.u.; formation enthalpy at 0 K = 8.053 eV per formula unit; total DFT energy (no corrections) = -3.96 eV/atom
1.0
-1.572 -3.741 2.909
4.048 -2.653 -1.225
2.464 1.973 3.869
Pb Pt
1 4
direct
0.500 0.500 0.500 Pb
0.000 0.000 0.000 Pt
0.500 0.000 0.500 Pt
0.000 0.500 0.500 Pt
0.500 0.500 0.000 Pt

=====

19.
PBE Co2P, relaxed; N(E_F) = 3.52 states/eV/f.u.; formation enthalpy at 0 K = 0.909 eV per formula unit; total DFT energy (no corrections) = -6.24 eV/atom
1.0
3.893 0.000 0.000
-1.946 3.371 0.000
0.000 0.000 2.618
Co P
2 1
direct
0.333 0.667 0.500 Co
0.667 0.333 0.500 Co
0.000 0.000 0.000 P

=====

20.
PBE Ca4TmTl2, relaxed; N(E_F) = 9.87 states/eV/f.u.; formation enthalpy at 0 K = -0.289 eV per formula unit; total DFT energy (no corrections) = -2.50 eV/atom
1.0
-5.047 -1.301 1.697
-0.726 -2.331 4.908
-2.865 7.891 6.385
Ca Tm Tl
4 1 2
direct
0.706 0.706 0.882 Ca
0.896 0.896 0.312 Ca
0.294 0.294 0.118 Ca
0.104 0.104 0.688 Ca
0.500 0.500 0.500 Tm
0.598 0.598 0.205 Tl
0.402 0.402 0.795 Tl